one) This record from the Alexandria database describes crystalline BeSi3Se at its relaxed geometry. The functional is PBE.

Results
total magnetization = 0.0 μB per formula unit
SG = No. 221
calculated volume = 21.914 Å³/atom

Cell: 4.785 4.785 4.785 Å, 90.00 90.00 90.00°
Fractional coordinates of all 5 atoms:
Be  0.000  0.000  0.000
Si  0.000  0.500  0.500
Si  0.500  0.000  0.500
Si  0.500  0.500  0.000
Se  0.500  0.500  0.500

=====

two) This record from the Alexandria database describes crystalline BeSi3Se at its relaxed geometry. The functional is PBE.

Results
total magnetization = 0.0 μB per formula unit
SG = No. 221
calculated volume = 16.773 Å³/atom

Cell: 4.377 4.377 4.377 Å, 90.00 90.00 90.00°
Fractional coordinates of all 5 atoms:
Be  0.000  0.000  0.000
Si  0.000  0.000  0.500
Si  0.000  0.500  0.000
Si  0.500  0.000  0.000
Se  0.500  0.500  0.500

=====

Question: of the structures shown, which is the most stable? Reply: two).